This record from Alexandria describes an optimized crystal structure of Li4Cd2Rh. The functional is PBE-GGA.

## Properties
total magnetization	0.000	μB per formula unit
DOS(E_F)	0.370	states/eV per atom
ΔE_f	-0.04	eV/atom
E	-34.2	eV per cell

The structure in POSCAR format:
```
Li4Cd2Rh
1.0
9.0334 0.0000 0.0000
0.0000 4.7002 -2.1749
0.0000 -0.3771 5.3514
Rh Li Cd
2 8 4
Cartesian
0.0000 0.0000 0.0000
4.5167 2.3501 -1.0875
6.7750 2.1618 1.5882
6.7756 1.1713 -0.5420
2.2583 4.5115 0.5009
2.2578 3.5290 -1.6330
6.7750 -0.1883 2.6756
2.2583 2.1614 1.5883
6.7745 3.5214 -1.6295
2.2589 1.1789 -0.5455
4.5167 0.6308 1.3632
0.0000 2.9809 0.2757
4.5167 3.6924 1.8133
0.0000 1.3423 2.9007
```